First-principles (PBE) data for a relaxed structure of ZnP3W, as listed in the Alexandria database.

Output
Formation energy from the elements, meV/atom: 1575
Energy relative to the lowest polymorph listed for this composition, meV per atom: 996.6
Fermi-level density of states, states/eV per atom: 1.3241
VASP energy, eV per atom: -4.52

Structure (CIF):
```
data_ZnP3W
_chemical_formula_sum 'Zn1 P3 W1'
_cell_length_a 4.4483
_cell_length_b 4.4483
_cell_length_c 4.4483
_cell_angle_alpha 90.00
_cell_angle_beta 90.00
_cell_angle_gamma 90.00
_symmetry_space_group_name_H-M 'P 1'
_symmetry_Int_Tables_number 1
loop_
_symmetry_equiv_pos_as_xyz
'x,y,z'
loop_
_atom_site_label
_atom_site_fract_x
_atom_site_fract_y
_atom_site_fract_z
Zn1 0.0000 0.0000 0.0000
P1 0.0000 0.0000 0.5000
P2 0.0000 0.5000 0.0000
P3 0.5000 0.0000 0.0000
W1 0.5000 0.5000 0.5000
```

***

First-principles (PBE) data for a relaxed structure of ZnP3W, as listed in the Alexandria database.

Output
Formation energy from the elements, meV/atom: 578
Energy relative to the lowest polymorph listed for this composition, meV per atom: 0.0
Fermi-level density of states, states/eV per atom: 1.0989
VASP energy, eV per atom: -5.51

Structure (CIF):
```
data_ZnP3W
_chemical_formula_sum 'Zn1 P3 W1'
_cell_length_a 4.7218
_cell_length_b 4.7218
_cell_length_c 4.7218
_cell_angle_alpha 90.00
_cell_angle_beta 90.00
_cell_angle_gamma 90.00
_symmetry_space_group_name_H-M 'P 1'
_symmetry_Int_Tables_number 1
loop_
_symmetry_equiv_pos_as_xyz
'x,y,z'
loop_
_atom_site_label
_atom_site_fract_x
_atom_site_fract_y
_atom_site_fract_z
Zn1 0.0000 0.0000 0.0000
P1 0.0000 0.5000 0.5000
P2 0.5000 0.0000 0.5000
P3 0.5000 0.5000 0.0000
W1 0.5000 0.5000 0.5000
```

***

First-principles (PBE) data for a relaxed structure of ZnPW2, as listed in the Alexandria database.

Output
Formation energy from the elements, meV/atom: 388
Energy relative to the lowest polymorph listed for this composition, meV per atom: 243.9
Fermi-level density of states, states/eV per atom: 0.5860
VASP energy, eV per atom: -7.76

Structure (CIF):
```
data_ZnPW2
_chemical_formula_sum 'Zn2 P2 W4'
_cell_length_a 5.5515
_cell_length_b 8.1760
_cell_length_c 2.7994
_cell_angle_alpha 90.00
_cell_angle_beta 110.76
_cell_angle_gamma 90.00
_symmetry_space_group_name_H-M 'P 1'
_symmetry_Int_Tables_number 1
loop_
_symmetry_equiv_pos_as_xyz
'x,y,z'
loop_
_atom_site_label
_atom_site_fract_x
_atom_site_fract_y
_atom_site_fract_z
Zn1 0.0000 0.0000 0.0000
Zn2 0.5000 0.5000 0.0000
P1 0.0000 0.5000 0.0000
P2 0.5000 0.0000 0.0000
W1 0.2500 0.2500 0.5000
W2 0.2500 0.7500 0.5000
W3 0.7500 0.2500 0.5000
W4 0.7500 0.7500 0.5000
```

***

First-principles (PBE) data for a relaxed structure of ZnPW2, as listed in the Alexandria database.

Output
Formation energy from the elements, meV/atom: 198
Energy relative to the lowest polymorph listed for this composition, meV per atom: 54.0
Fermi-level density of states, states/eV per atom: 0.5326
VASP energy, eV per atom: -7.95

Structure (CIF):
```
data_ZnPW2
_chemical_formula_sum 'Zn2 P2 W4'
_cell_length_a 4.4606
_cell_length_b 2.9191
_cell_length_c 9.4447
_cell_angle_alpha 90.00
_cell_angle_beta 90.00
_cell_angle_gamma 90.00
_symmetry_space_group_name_H-M 'P 1'
_symmetry_Int_Tables_number 1
loop_
_symmetry_equiv_pos_as_xyz
'x,y,z'
loop_
_atom_site_label
_atom_site_fract_x
_atom_site_fract_y
_atom_site_fract_z
Zn1 0.0000 0.0000 0.0000
Zn2 0.0000 0.5000 0.5000
P1 0.5000 0.0000 0.6399
P2 0.5000 0.5000 0.1399
W1 0.0000 0.0000 0.7341
W2 0.0000 0.5000 0.2341
W3 0.5000 0.0000 0.3603
W4 0.5000 0.5000 0.8603
```

***

First-principles (PBE) data for a relaxed structure of ZrP2W, as listed in the Alexandria database.

Output
Formation energy from the elements, meV/atom: -518
Energy relative to the lowest polymorph listed for this composition, meV per atom: 315.5
Fermi-level density of states, states/eV per atom: 0.1560
VASP energy, eV per atom: -8.60

Structure (CIF):
```
data_ZrP2W
_chemical_formula_sum 'Zr4 P8 W4'
_cell_length_a 6.2705
_cell_length_b 6.2705
_cell_length_c 6.2705
_cell_angle_alpha 90.00
_cell_angle_beta 90.00
_cell_angle_gamma 90.00
_symmetry_space_group_name_H-M 'P 1'
_symmetry_Int_Tables_number 1
loop_
_symmetry_equiv_pos_as_xyz
'x,y,z'
loop_
_atom_site_label
_atom_site_fract_x
_atom_site_fract_y
_atom_site_fract_z
Zr1 0.0000 0.0000 0.0000
Zr2 0.0000 0.5000 0.5000
Zr3 0.5000 0.0000 0.5000
Zr4 0.5000 0.5000 0.0000
P1 0.2500 0.2500 0.2500
P2 0.2500 0.2500 0.7500
P3 0.2500 0.7500 0.2500
P4 0.2500 0.7500 0.7500
P5 0.7500 0.2500 0.2500
P6 0.7500 0.2500 0.7500
P7 0.7500 0.7500 0.2500
P8 0.7500 0.7500 0.7500
W1 0.0000 0.0000 0.5000
W2 0.0000 0.5000 0.0000
W3 0.5000 0.0000 0.0000
W4 0.5000 0.5000 0.5000
```

***

First-principles (PBE) data for a relaxed structure of ZrPW, as listed in the Alexandria database.

Output
Formation energy from the elements, meV/atom: -81
Fermi-level density of states, states/eV per atom: 1.2266
VASP energy, eV per atom: -9.05

Structure (CIF):
```
data_ZrPW
_chemical_formula_sum 'Zr4 P4 W4'
_cell_length_a 5.9969
_cell_length_b 5.9969
_cell_length_c 5.9969
_cell_angle_alpha 90.00
_cell_angle_beta 90.00
_cell_angle_gamma 90.00
_symmetry_space_group_name_H-M 'P 1'
_symmetry_Int_Tables_number 1
loop_
_symmetry_equiv_pos_as_xyz
'x,y,z'
loop_
_atom_site_label
_atom_site_fract_x
_atom_site_fract_y
_atom_site_fract_z
Zr1 0.0000 0.0000 0.0000
Zr2 0.0000 0.5000 0.5000
Zr3 0.5000 0.0000 0.5000
Zr4 0.5000 0.5000 0.0000
P1 0.2500 0.2500 0.2500
P2 0.2500 0.7500 0.7500
P3 0.7500 0.2500 0.7500
P4 0.7500 0.7500 0.2500
W1 0.0000 0.0000 0.5000
W2 0.0000 0.5000 0.0000
W3 0.5000 0.0000 0.0000
W4 0.5000 0.5000 0.5000
```

***

First-principles (PBE) data for a relaxed structure of ZrPW, as listed in the Alexandria database.

Output
Formation energy from the elements, meV/atom: -184
Fermi-level density of states, states/eV per atom: 0.7151
VASP energy, eV per atom: -9.15

Structure (CIF):
```
data_ZrPW
_chemical_formula_sum 'Zr4 P4 W4'
_cell_length_a 3.4904
_cell_length_b 4.8545
_cell_length_c 11.9897
_cell_angle_alpha 90.00
_cell_angle_beta 90.00
_cell_angle_gamma 90.00
_symmetry_space_group_name_H-M 'P 1'
_symmetry_Int_Tables_number 1
loop_
_symmetry_equiv_pos_as_xyz
'x,y,z'
loop_
_atom_site_label
_atom_site_fract_x
_atom_site_fract_y
_atom_site_fract_z
Zr1 0.0000 0.0000 0.0000
Zr2 0.0000 0.5000 0.5000
Zr3 0.5000 0.0000 0.5000
Zr4 0.5000 0.5000 0.0000
P1 0.0000 0.0000 0.6603
P2 0.0000 0.5000 0.1603
P3 0.5000 0.0000 0.1603
P4 0.5000 0.5000 0.6603
W1 0.0000 0.0000 0.3044
W2 0.0000 0.5000 0.8044
W3 0.5000 0.0000 0.8044
W4 0.5000 0.5000 0.3044
```

***

First-principles (PBE) data for a relaxed structure of ZrPW, as listed in the Alexandria database.

Output
Formation energy from the elements, meV/atom: -348
Fermi-level density of states, states/eV per atom: 0.3712
VASP energy, eV per atom: -9.32

Structure (CIF):
```
data_ZrPW
_chemical_formula_sum 'Zr1 P1 W1'
_cell_length_a 3.4607
_cell_length_b 3.4607
_cell_length_c 5.2208
_cell_angle_alpha 90.00
_cell_angle_beta 90.00
_cell_angle_gamma 120.00
_symmetry_space_group_name_H-M 'P 1'
_symmetry_Int_Tables_number 1
loop_
_symmetry_equiv_pos_as_xyz
'x,y,z'
loop_
_atom_site_label
_atom_site_fract_x
_atom_site_fract_y
_atom_site_fract_z
Zr1 0.0000 0.0000 0.0000
P1 0.6667 0.3333 0.3072
W1 0.3333 0.6667 0.5563
```

***

Q: VASP energy of number 5 (ZrP2W)?
A: -8.60 eV per atom